Entry 1:
# Th2H2Pt GGA-PBE optimized geometry
data_Th2H2Pt
_cell_length_a 6.121
_cell_length_b 6.126
_cell_length_c 6.145
_cell_angle_alpha 117.68
_cell_angle_beta 107.14
_cell_angle_gamma 103.74
_space_group_name_H-M_alt 'P -1'
_space_group_IT_number 2
_space_group_name_Hall '-P 1'
loop_
_atom_site_label
_atom_site_type_symbol
_atom_site_fract_x
_atom_site_fract_y
_atom_site_fract_z
Th1 Th 0.023 0.345 0.184
Th2 Th 0.338 0.160 0.684
H1 H 0.005 0.254 0.509
H2 H 0.246 0.496 0.992
Pt1 Pt 0.468 0.218 0.251
# Energy = -62.26 eV for the cell shown

Entry 2:
# ScAg5 GGA-PBE optimized geometry
data_ScAg5
_cell_length_a 3.757
_cell_length_b 9.319
_cell_length_c 6.369
_cell_angle_alpha 90.00
_cell_angle_beta 90.22
_cell_angle_gamma 90.00
_space_group_name_H-M_alt 'P 1 21/m 1'
_space_group_IT_number 11
_space_group_name_Hall '-P 2yb'
loop_
_atom_site_label
_atom_site_type_symbol
_atom_site_fract_x
_atom_site_fract_y
_atom_site_fract_z
Sc1 Sc 0.249 0.250 0.118
Ag1 Ag 0.249 0.250 0.624
Ag2 Ag 0.250 0.586 0.622
Ag3 Ag 0.251 0.581 0.130
# Energy of formation = -0.086 eV per atom

Entry 3:
# Tb2RuAuC GGA-PBE optimized geometry
data_Tb2RuAuC
_cell_length_a 5.023
_cell_length_b 5.023
_cell_length_c 3.878
_cell_angle_alpha 90.00
_cell_angle_beta 90.00
_cell_angle_gamma 90.00
_space_group_name_H-M_alt 'P 4/m m m'
_space_group_IT_number 123
_space_group_name_Hall '-P 4 2'
loop_
_atom_site_label
_atom_site_type_symbol
_atom_site_fract_x
_atom_site_fract_y
_atom_site_fract_z
Tb1 Tb 0.000 0.500 0.000
Ru1 Ru 0.000 0.000 0.500
Au1 Au 0.500 0.500 0.500
C1 C 0.000 0.000 0.000
# Energy of formation = -0.553 eV per atom

Number 1: magnetization 0.0 μB/cell. Number 2: magnetization 0.0 μB/cell. Number 3: magnetization 0.0 μB/cell.